NaTlGeI4: relaxed, GGA-PBE.

```
NaTlGeI4
1.0
8.161 0.000 0.000
0.000 8.447 0.000
-2.920 0.000 8.878
Na Tl Ge I
2 2 2 8
Direct
0.216 0.250 0.056
0.784 0.750 0.944
0.213 0.250 0.547
0.787 0.750 0.453
0.253 0.750 0.809
0.747 0.250 0.191
0.002 0.004 0.770
0.002 0.496 0.770
0.474 0.750 0.105
0.484 0.750 0.626
0.516 0.250 0.374
0.526 0.250 0.895
0.998 0.504 0.230
0.998 0.996 0.230
```

Output
space-group type	No. 11
formation energy without anion corrections	-0.60	eV per atom